1.
# CdWBrO (GGA+U, relaxed)
# * DOS(E_F): 0.21 states/eV per atom
# * SG: No. 44
# * raw total energy: -3.90 eV/atom
# * M_tot: 1.4 μB per formula unit
data_CdWBrO
_space_group_name_H-M_alt 'P 1'
_space_group_IT_number 1
_space_group_name_Hall 'P 1'
_cell_length_a 3.5165
_cell_length_b 4.8148
_cell_length_c 13.3194
_cell_angle_alpha 90.00
_cell_angle_beta 90.00
_cell_angle_gamma 90.00
loop_
_atom_site_label
_atom_site_fract_x
_atom_site_fract_y
_atom_site_fract_z
W1 0.5000 0.0000 0.3008
O1 0.0000 0.5000 0.6690
Br1 0.5000 0.0000 0.4896
Cd1 0.5000 0.0000 0.8032
Cd2 0.0000 0.5000 0.3032
Br2 0.0000 0.5000 0.9896
W2 0.0000 0.5000 0.8008
O2 0.5000 0.0000 0.1690

=====

2.
# CdWBrO (GGA+U, relaxed)
# * DOS(E_F): 0.02 states/eV per atom
# * SG: No. 1
# * raw total energy: -4.14 eV/atom
# * M_tot: 2.0 μB per formula unit
data_CdWBrO
_space_group_name_H-M_alt 'P 1'
_space_group_IT_number 1
_space_group_name_Hall 'P 1'
_cell_length_a 3.4389
_cell_length_b 5.8777
_cell_length_c 6.6235
_cell_angle_alpha 66.23
_cell_angle_beta 75.66
_cell_angle_gamma 90.78
loop_
_atom_site_label
_atom_site_fract_x
_atom_site_fract_y
_atom_site_fract_z
Cd1 0.7341 0.5133 0.5510
O1 0.3168 0.0906 0.3821
Br1 0.0587 0.8514 0.9105
W1 0.7354 0.0144 0.5488

=====

3.
# CdWBrO (GGA+U, relaxed)
# * DOS(E_F): 0.19 states/eV per atom
# * SG: No. 8
# * raw total energy: -4.13 eV/atom
# * M_tot: 2.2 μB per formula unit
data_CdWBrO
_space_group_name_H-M_alt 'P 1'
_space_group_IT_number 1
_space_group_name_Hall 'P 1'
_cell_length_a 3.3645
_cell_length_b 5.9208
_cell_length_c 11.8766
_cell_angle_alpha 90.00
_cell_angle_beta 90.51
_cell_angle_gamma 90.00
loop_
_atom_site_label
_atom_site_fract_x
_atom_site_fract_y
_atom_site_fract_z
O1 0.4575 0.5000 0.4512
Cd1 0.9610 0.5000 0.0384
W1 0.9604 0.0000 0.0399
Br1 0.4662 0.0000 0.2162
Cd2 0.9610 0.0000 0.5384
Br2 0.4662 0.5000 0.7162
O2 0.4575 0.0000 0.9512
W2 0.9604 0.5000 0.5399

=====

4.
# CdWBrO (GGA+U, relaxed)
# * DOS(E_F): 0.30 states/eV per atom
# * SG: No. 38
# * raw total energy: -3.87 eV/atom
# * M_tot: 0.3 μB per formula unit
data_CdWBrO
_space_group_name_H-M_alt 'P 1'
_space_group_IT_number 1
_space_group_name_Hall 'P 1'
_cell_length_a 3.0914
_cell_length_b 5.1299
_cell_length_c 12.3195
_cell_angle_alpha 90.00
_cell_angle_beta 90.00
_cell_angle_gamma 90.00
loop_
_atom_site_label
_atom_site_fract_x
_atom_site_fract_y
_atom_site_fract_z
O1 0.5000 0.5000 0.3443
O2 0.5000 0.0000 0.8443
Cd1 0.0000 0.0000 0.4697
W1 0.5000 0.5000 0.4862
Br1 0.0000 0.0000 0.1693
Br2 0.0000 0.5000 0.6693
W2 0.5000 0.0000 0.9862
Cd2 0.0000 0.5000 0.9697